No. 1
Here is crystalline BeAlReW at its relaxed geometry from Alexandria via LeMat-Bulk. Energies are from PBE.

The volume is 221 Å³/cell. The calculated density is 12.196 g cm⁻³. As for the total energy: -132.90 eV for the cell shown. The calculation puts the total magnetization at 0.0 μB per formula unit.

The structure belongs to space group F-43m (No. 216); the cell edges are 6.047, 6.047 and 6.047 Å and the angles 90.00°, 90.00° and 90.00°. The distinct sites, in fractional coordinates, are Be at (0.000, 0.000, 0.000), Al at (0.250, 0.250, 0.750), Re at (0.000, 0.000, 0.500) and W at (0.250, 0.250, 0.250).

No. 2
Here is crystalline Tb2DyScTe4 at its relaxed geometry from Alexandria via LeMat-Bulk. Energies are from PBE.

For the raw formation energy, the calculation gives -28.6 kcal/mol of atoms. The volume is 228 Å³/cell. The calculated density is 7.537 g cm⁻³. As for the total energy: -42.70 eV for the cell shown. The calculation puts the total magnetization at 0.0 μB per formula unit.

The structure belongs to space group P2/m (No. 10); the cell edges are 7.503, 4.283 and 7.510 Å and the angles 90.00°, 109.00° and 90.00°. The distinct sites, in fractional coordinates, are Tb at (0.000, 0.000, 0.000), Tb at (0.500, 0.500, 0.000), Dy at (0.000, 0.500, 0.500), Sc at (0.500, 0.000, 0.500), Te at (0.254, 0.000, 0.744) and Te at (0.260, 0.500, 0.261).

No. 3
Here is crystalline AcNdIrRh at its relaxed geometry from Alexandria via LeMat-Bulk. Energies are from PBE.

The volume is 198 Å³/cell. For the offset from the most stable computed form, the calculation gives 0.000 eV per formula unit. The calculated density is 11.155 g cm⁻³. As for the total energy: -55.19 eV for the cell shown. The calculation puts the total magnetization at 0.0 μB per formula unit.

The structure belongs to space group Amm2 (No. 38); the cell edges are 4.334, 4.088 and 11.198 Å and the angles 90.00°, 90.00° and 90.00°. The distinct sites, in fractional coordinates, are Ac at (0.000, 0.000, 0.000), Nd at (0.500, 0.000, 0.283), Ir at (0.500, 0.000, 0.565) and Rh at (0.000, 0.000, 0.727).

> Among the records above, which one has the highest total energy?

Tb2DyScTe4

> total energy of number 1 (BeAlReW)?

-132.90 eV for the cell shown

> Which of these has the lowest calculated density?

Tb2DyScTe4